[1]
The following is a DFT calculation (PBE-GGA) of a relaxed structure of Ba2Si3AgPt12.

```
18
Lattice="4.184 2.416 6.282 -4.184 2.416 6.282 0.000 -4.832 6.282" Properties=species:S:1:pos:R:3 pbc="T T T"
Ba 0.000 0.000 2.097
Ba 0.000 0.000 16.749
Si -2.092 -1.208 6.282
Si -2.092 1.208 12.564
Si 0.000 2.416 6.282
Ag 0.000 0.000 9.423
Pt -2.118 -1.223 8.590
Pt 0.000 -2.121 5.655
Pt -1.836 1.060 5.655
Pt 0.000 -2.446 10.256
Pt -2.118 1.223 10.256
Pt -1.836 -1.060 13.191
Pt 1.836 1.060 5.655
Pt 2.119 -1.223 8.590
Pt 0.000 2.446 8.590
Pt 1.836 -1.060 13.191
Pt 0.000 2.121 13.191
Pt 2.119 1.223 10.256
```

Output
For the raw formation energy, the calculation gives -4.83 eV/f.u.



[2]
The following is a DFT calculation (PBE-GGA) of a relaxed structure of Ba2Ag3Sn4Pt.

```
10
Lattice="4.864 0.000 0.000 0.000 4.864 0.000 0.000 0.000 11.363" Properties=species:S:1:pos:R:3 pbc="T T T"
Ba 0.000 2.432 2.734
Ba 2.432 0.000 8.629
Ag 0.000 0.000 0.000
Ag 0.000 2.432 7.247
Ag 2.432 0.000 4.116
Sn 0.000 0.000 5.681
Sn 0.000 2.432 10.061
Sn 2.432 0.000 1.302
Sn 2.432 2.432 5.681
Pt 2.432 2.432 0.000
```

Output
The energy of formation is -0.463 eV per atom.



[3]
The following is a DFT calculation (PBE-GGA) of a relaxed structure of Ba2AgSn4Pt3.

```
10
Lattice="4.809 0.000 0.000 0.000 4.809 0.000 0.000 0.000 10.906" Properties=species:S:1:pos:R:3 pbc="T T T"
Ba 0.000 2.405 2.708
Ba 2.405 0.000 8.198
Ag 2.405 2.405 0.000
Sn 0.000 0.000 5.453
Sn 0.000 2.405 9.509
Sn 2.405 0.000 1.397
Sn 2.405 2.405 5.453
Pt 0.000 0.000 0.000
Pt 0.000 2.405 6.793
Pt 2.405 0.000 4.113
```

Output
The energy of formation is -0.705 eV per atom.



[4]
The following is a DFT calculation (PBE-GGA) of a relaxed structure of Ba2AgSnPt.

```
5
Lattice="6.248 0.000 0.000 0.000 6.248 0.000 0.000 0.000 5.037" Properties=species:S:1:pos:R:3 pbc="T T T"
Ba 0.000 3.124 0.000
Ba 3.124 0.000 0.000
Ag 0.000 0.000 2.518
Sn 3.124 3.124 2.518
Pt 3.124 3.124 0.000
```

Output
The energy of formation is -0.419 eV per atom.



[5]
The following is a DFT calculation (PBE-GGA) of a relaxed structure of BaAg2SnPt.

```
5
Lattice="5.253 0.000 0.000 0.000 5.253 0.000 0.000 0.000 5.200" Properties=species:S:1:pos:R:3 pbc="T T T"
Ba 0.000 0.000 0.000
Ag 0.000 2.627 2.600
Ag 2.627 0.000 2.600
Sn 2.627 2.627 2.600
Pt 2.627 2.627 0.000
```

Output
The energy of formation is -0.162 eV per atom.



[6]
The following is a DFT calculation (PBE-GGA) of a relaxed structure of Ba2AgSn3Pt4.

```
10
Lattice="4.768 0.000 0.000 0.000 4.768 0.000 0.000 0.000 10.802" Properties=species:S:1:pos:R:3 pbc="T T T"
Ba 0.000 2.384 2.685
Ba 2.384 0.000 8.118
Ag 2.384 2.384 0.000
Sn 0.000 0.000 0.000
Sn 0.000 2.384 6.680
Sn 2.384 0.000 4.122
Pt 0.000 0.000 5.401
Pt 0.000 2.384 9.368
Pt 2.384 0.000 1.434
Pt 2.384 2.384 5.401
```

Output
The energy of formation is -0.685 eV per atom.



[7]
The following is a DFT calculation (PBE-GGA) of a relaxed structure of BaSr2AgPt.

```
5
Lattice="5.862 0.000 0.000 0.000 5.862 0.000 0.000 0.000 6.116" Properties=species:S:1:pos:R:3 pbc="T T T"
Ba 0.000 0.000 0.000
Sr 0.000 2.931 3.058
Sr 2.931 0.000 3.058
Ag 2.931 2.931 0.000
Pt 0.000 0.000 3.058
```

Output
The energy of formation is -0.354 eV per atom.



[8]
The following is a DFT calculation (PBE-GGA) of a relaxed structure of BaTcAgPt2.

```
5
Lattice="5.148 0.000 0.000 0.000 5.148 0.000 0.000 0.000 4.936" Properties=species:S:1:pos:R:3 pbc="T T T"
Ba 0.000 0.000 0.000
Tc 2.574 2.574 0.000
Ag 2.574 2.574 2.468
Pt 0.000 2.574 2.468
Pt 2.574 0.000 2.468
```

Output
The energy of formation is 0.853 eV per atom.



[9]
The following is a DFT calculation (PBE-GGA) of a relaxed structure of Ba2AgTePt.

```
5
Lattice="6.068 0.000 0.000 0.000 6.068 0.000 0.000 0.000 5.110" Properties=species:S:1:pos:R:3 pbc="T T T"
Ba 0.000 3.034 0.000
Ba 3.034 0.000 0.000
Ag 0.000 0.000 2.555
Te 3.034 3.034 2.555
Pt 0.000 0.000 0.000
```

Output
For the raw formation energy, the calculation gives -3.87 eV/f.u.



[10]
The following is a DFT calculation (PBE-GGA) of a relaxed structure of Ba8TlAg2Pt.

```
12
Lattice="7.777 0.000 0.000 0.000 10.015 0.000 -0.119 0.000 8.021" Properties=species:S:1:pos:R:3 pbc="T T T"
Ba 1.740 2.261 1.336
Ba 1.740 7.755 1.336
Ba 1.894 0.000 5.482
Ba 2.012 5.008 5.291
Ba 5.647 5.008 2.730
Ba 5.765 0.000 2.540
Ba 5.919 2.261 6.685
Ba 5.919 7.755 6.685
Tl 0.000 5.008 0.000
Ag 3.829 2.436 4.011
Ag 3.829 7.579 4.011
Pt 0.000 0.000 0.000
```

Output
The energy of formation is -0.273 eV per atom.



[11]
The following is a DFT calculation (PBE-GGA) of a relaxed structure of Ba2Zn6AgPt.

```
10
Lattice="4.985 -4.999 0.000 4.985 4.999 0.000 -4.964 0.000 5.004" Properties=species:S:1:pos:R:3 pbc="T T T"
Ba 4.985 2.498 0.000
Ba 4.985 -2.498 0.000
Zn -0.019 0.000 2.498
Zn -2.474 0.000 4.972
Zn 2.502 2.530 2.502
Zn 2.502 -2.530 2.502
Zn 7.479 0.000 0.031
Zn 5.024 0.000 2.506
Ag 2.502 0.000 2.502
Pt -2.482 0.000 2.502
```

Output
The energy of formation is -0.239 eV per atom.



[12]
The following is a DFT calculation (PBE-GGA) of a relaxed structure of Ba2Zn4AgPt3.

```
10
Lattice="4.598 0.000 0.000 0.000 4.598 0.000 0.000 0.000 10.367" Properties=species:S:1:pos:R:3 pbc="T T T"
Ba 0.000 2.299 2.583
Ba 2.299 0.000 7.784
Zn 0.000 0.000 0.000
Zn 0.000 2.299 6.487
Zn 2.299 0.000 3.880
Zn 2.299 2.299 0.000
Ag 0.000 0.000 5.183
Pt 0.000 2.299 9.089
Pt 2.299 0.000 1.278
Pt 2.299 2.299 5.183
```

Output
The energy of formation is -0.537 eV per atom.



[13]
The following is a DFT calculation (PBE-GGA) of a relaxed structure of Ba2PuAg.

```
4
Lattice="2.081 1.201 11.121 -2.081 1.201 11.121 0.000 -2.403 11.121" Properties=species:S:1:pos:R:3 pbc="T T T"
Ba 0.000 0.000 7.936
Ba 0.000 0.000 25.427
Pu 0.000 0.000 0.000
Ag 0.000 0.000 16.682
```

Output
The energy of formation is 0.286 eV per atom.



[14]
The following is a DFT calculation (PBE-GGA) of a relaxed structure of BaPuAg2.

```
4
Lattice="3.889 0.000 0.000 0.000 3.889 0.000 0.000 0.000 7.832" Properties=species:S:1:pos:R:3 pbc="T T T"
Ba 0.000 0.000 0.000
Pu 0.000 0.000 3.916
Ag 1.944 1.944 2.303
Ag 1.944 1.944 5.530
```

Output
The energy of formation is -0.018 eV per atom.



[15]
The following is a DFT calculation (PBE-GGA) of a relaxed structure of BaPuAg2S4.

```
8
Lattice="-3.416 3.619 4.109 3.416 -3.619 4.109 3.416 3.619 -4.109" Properties=species:S:1:pos:R:3 pbc="T T T"
Ba 0.000 0.000 0.000
Pu 0.000 0.000 4.109
Ag 3.416 0.000 2.572
Ag 0.000 3.619 1.537
S 1.926 2.077 -1.565
S 1.491 -1.541 5.674
S 1.491 1.541 2.544
S 1.926 5.160 1.565
```

Output
For the raw formation energy, the calculation gives -7.65 eV/f.u.



[16]
The following is a DFT calculation (PBE-GGA) of a relaxed structure of BaPuAgS3.

```
12
Lattice="8.504 0.000 0.000 0.000 4.165 0.000 -2.459 0.000 8.853" Properties=species:S:1:pos:R:3 pbc="T T T"
Ba 1.113 1.041 2.136
Ba 4.932 3.124 6.717
Pu 0.717 3.124 7.456
Pu 5.328 1.041 1.397
Ag -0.669 1.041 5.225
Ag 6.714 3.124 3.629
S -1.176 1.041 7.712
S 0.784 3.124 4.643
S 3.462 3.124 1.348
S 2.583 1.041 7.505
S 5.261 1.041 4.210
S 7.221 3.124 1.141
```

Output
For the raw formation energy, the calculation gives -8.56 eV/f.u.



[17]
The following is a DFT calculation (PBE-GGA) of a relaxed structure of Ba3PuAg2S6.

```
12
Lattice="7.439 0.000 0.000 -3.719 6.442 0.000 0.000 0.000 7.900" Properties=species:S:1:pos:R:3 pbc="T T T"
Ba 0.000 0.000 0.000
Ba 0.000 4.295 4.759
Ba 3.719 2.147 3.141
Pu 0.000 0.000 3.950
Ag 0.000 4.295 1.176
Ag 3.719 2.147 6.724
S 0.000 2.110 2.362
S -1.892 5.387 2.362
S 1.828 1.055 5.537
S 1.892 5.387 2.362
S 5.611 1.055 5.537
S 3.719 4.332 5.537
```

Output
For the raw formation energy, the calculation gives -14.61 eV/f.u.



[18]
The following is a DFT calculation (PBE-GGA) of a relaxed structure of Ba2PuAg3S6.

```
12
Lattice="4.734 0.000 0.000 0.000 4.734 0.000 0.000 0.000 14.717" Properties=species:S:1:pos:R:3 pbc="T T T"
Ba 0.000 0.000 3.140
Ba 0.000 0.000 11.577
Pu 0.000 0.000 7.358
Ag 2.367 2.367 0.000
Ag 2.367 2.367 5.040
Ag 2.367 2.367 9.676
S 0.000 2.367 5.680
S 0.000 2.367 9.037
S 2.367 0.000 5.680
S 2.367 0.000 9.037
S 2.367 2.367 2.359
S 2.367 2.367 12.357
```

Output
For the raw formation energy, the calculation gives -11.79 eV/f.u.



[19]
The following is a DFT calculation (PBE-GGA) of a relaxed structure of Ba2PuAg2S6.

```
11
Lattice="3.787 2.186 6.223 -3.787 2.186 6.223 0.000 -4.373 6.223" Properties=species:S:1:pos:R:3 pbc="T T T"
Ba 0.000 0.000 4.173
Ba 0.000 0.000 14.495
Pu 0.000 0.000 0.000
Ag 0.000 0.000 7.826
Ag 0.000 0.000 10.841
S -2.080 -1.201 10.805
S 0.000 -2.402 7.863
S -2.080 1.201 7.863
S 2.080 -1.201 10.805
S 0.000 2.402 10.805
S 2.080 1.201 7.863
```

Output
For the raw formation energy, the calculation gives -11.00 eV/f.u.



[20]
The following is a DFT calculation (PBE-GGA) of a relaxed structure of BaPu4Ag3Se12.

```
20
Lattice="-5.197 5.197 5.197 5.197 -5.197 5.197 5.197 5.197 -5.197" Properties=species:S:1:pos:R:3 pbc="T T T"
Ba 0.000 0.000 0.000
Pu 2.599 2.599 -2.599
Pu 2.599 -2.599 2.599
Pu -2.599 2.599 2.599
Pu 2.599 2.599 2.599
Ag 5.197 0.000 0.000
Ag 0.000 5.197 0.000
Ag 0.000 0.000 5.197
Se 5.197 3.450 -2.021
Se 3.176 0.000 1.747
Se 7.218 0.000 1.747
Se 1.747 3.176 0.000
Se 3.450 -2.021 5.197
Se 0.000 1.747 3.176
Se 5.197 3.450 2.021
Se 1.747 7.218 0.000
Se 3.450 2.021 5.197
Se -2.021 5.197 3.450
Se 2.021 5.197 3.450
Se 0.000 1.747 7.218
```

Output
For the raw formation energy, the calculation gives -17.18 eV/f.u.



[21]
The following is a DFT calculation (PBE-GGA) of a relaxed structure of BaPuAg2Se4.

```
8
Lattice="-3.557 3.777 4.223 3.557 -3.777 4.223 3.557 3.777 -4.223" Properties=species:S:1:pos:R:3 pbc="T T T"
Ba 0.000 0.000 0.000
Pu 0.000 0.000 4.223
Ag 3.557 0.000 2.709
Ag 0.000 3.777 1.514
Se 1.989 2.124 -1.657
Se 1.568 -1.654 5.880
Se 1.568 1.654 2.566
Se 1.989 5.431 1.657
```

Output
For the raw formation energy, the calculation gives -7.11 eV/f.u.



[22]
The following is a DFT calculation (PBE-GGA) of a relaxed structure of Ba3PuAg2Se6.

```
12
Lattice="7.812 0.000 0.000 -3.906 6.766 0.000 0.000 0.000 8.194" Properties=species:S:1:pos:R:3 pbc="T T T"
Ba 0.000 0.000 0.000
Ba 0.000 4.510 4.863
Ba 3.906 2.255 3.331
Pu 0.000 0.000 4.097
Ag 0.000 4.510 1.198
Ag 3.906 2.255 6.996
Se 0.000 2.222 2.420
Se -1.982 5.654 2.420
Se 1.924 1.111 5.774
Se 1.982 5.654 2.420
Se 5.888 1.111 5.774
Se 3.906 4.543 5.774
```

Output
For the raw formation energy, the calculation gives -13.61 eV/f.u.



Number 1: total magnetic moment 0.00 μB/cell. Number 2: total magnetic moment 0.00 μB/cell. Number 3: total magnetic moment 0.00 μB/cell. Number 4: total magnetic moment 0.00 μB/cell. Number 5: total magnetic moment 0.00 μB/cell. Number 6: total magnetic moment 0.00 μB/cell. Number 7: total magnetic moment 0.00 μB/cell. Number 8: total magnetic moment 3.80 μB/cell. Number 9: total magnetic moment 0.00 μB/cell. Number 10: total magnetic moment 0.00 μB/cell. Number 11: total magnetic moment 0.00 μB/cell. Number 12: total magnetic moment 0.00 μB/cell. Number 13: total magnetic moment 7.68 μB/cell. Number 14: total magnetic moment 6.11 μB/cell. Number 15: total magnetic moment 4.42 μB/cell. Number 16: total magnetic moment 10.00 μB/cell. Number 17: total magnetic moment 4.00 μB/cell. Number 18: total magnetic moment 4.47 μB/cell. Number 19: total magnetic moment 1.93 μB/cell. Number 20: total magnetic moment 15.53 μB/cell. Number 21: total magnetic moment 4.54 μB/cell. Number 22: total magnetic moment 3.99 μB/cell.